# 1
# Tm2ScIn3Ag2Pt | OQMD | PBE-GGA | optimized geometry
data_Tm2ScIn3Ag2Pt
_symmetry_space_group_name_H-M 'A m m 2'
_symmetry_Int_Tables_number 38
_cell_length_a 3.778
_cell_length_b 13.365
_cell_length_c 7.751
_cell_angle_alpha 90.00
_cell_angle_beta 90.00
_cell_angle_gamma 90.00
loop_
_symmetry_equiv_pos_as_xyz
'x,y,z'
'-x,-y,z'
'-x,y,z'
'x,-y,z'
'x,y+1/2,z+1/2'
'-x,-y+1/2,z+1/2'
'-x,y+1/2,z+1/2'
'x,-y+1/2,z+1/2'
loop_
_atom_site_label
_atom_site_type_symbol
_atom_site_fract_x
_atom_site_fract_y
_atom_site_fract_z
Tm1 Tm 0.000 0.196 0.000
Sc1 Sc 0.000 0.000 0.584
In1 In 0.500 0.000 0.927
In2 In 0.500 0.131 0.332
Ag1 Ag 0.500 0.165 0.695
Pt1 Pt 0.000 0.000 0.196
# Total DFT energy (no corrections)   -4.47 eV per atom
# ρ   9.658 g/cm3


# 2
# InAgTe2PtSe | OQMD | PBE-GGA | optimized geometry
data_InAgTe2PtSe
_symmetry_space_group_name_H-M 'C m c m'
_symmetry_Int_Tables_number 63
_symmetry_space_group_name_Hall '-C 2c 2'
_cell_length_a 4.005
_cell_length_b 12.867
_cell_length_c 11.517
_cell_angle_alpha 90.00
_cell_angle_beta 90.00
_cell_angle_gamma 90.00
loop_
_atom_site_label
_atom_site_type_symbol
_atom_site_fract_x
_atom_site_fract_y
_atom_site_fract_z
In1 In 0.000 0.164 0.250
Ag1 Ag 0.000 0.164 0.750
Te1 Te 0.000 0.137 0.512
Pt1 Pt 0.000 0.500 0.000
Se1 Se 0.000 0.491 0.750
# Total DFT energy (no corrections)   -3.78 eV per atom
# ρ   8.416 g/cm3


# 3
# InAgTePtSe2 | OQMD | PBE-GGA | optimized geometry
data_InAgTePtSe2
_symmetry_space_group_name_H-M 'C m c m'
_symmetry_Int_Tables_number 63
_symmetry_space_group_name_Hall '-C 2c 2'
_cell_length_a 3.658
_cell_length_b 14.273
_cell_length_c 11.192
_cell_angle_alpha 90.00
_cell_angle_beta 90.00
_cell_angle_gamma 90.00
loop_
_atom_site_label
_atom_site_type_symbol
_atom_site_fract_x
_atom_site_fract_y
_atom_site_fract_z
In1 In 0.000 0.188 0.250
Ag1 Ag 0.000 0.158 0.750
Te1 Te 0.000 0.491 0.750
Pt1 Pt 0.000 0.500 0.000
Se1 Se 0.000 0.121 0.507
# Total DFT energy (no corrections)   -3.86 eV per atom
# ρ   7.995 g/cm3